FeCo3Rh2 | PBE | relaxed

Geometry as POSCAR:
```
FeCo3Rh2
1.0
-1.3760 -2.5195 2.9056
0.5474 -2.0299 -1.5009
6.5126 -0.3195 2.8072
Fe Co Rh
1 3 2
Direct
0.5000 0.5000 0.6659
0.0000 0.5000 0.1674
0.0000 0.5000 0.8365
0.5000 0.5000 0.3311
0.5000 0.0000 0.0031
0.0000 0.0000 0.4961
```

Computed properties:
Fermi-level density of states = 4.23 states/eV/cell
E = -7.36 eV/atom
Total moment = 9.6 μB/f.u.


TlNi2Ir | PBE | relaxed

Geometry as POSCAR:
```
TlNi2Ir
1.0
-1.1605 4.1653 -0.7242
-1.4434 1.2172 -3.9568
-4.2227 1.0315 -0.5712
Ir Ni Tl
1 2 1
Direct
0.5000 0.5000 0.5000
0.0000 0.0000 0.0000
0.7500 0.7500 0.7500
0.2500 0.2500 0.2500
```

Computed properties:
Fermi-level density of states = 6.12 states/eV/cell
E = -5.29 eV/atom
Total moment = 1.1 μB/f.u.
E above lowest polymorph = 111.2 meV per atom


Tl2CoCu | PBE | relaxed

Geometry as POSCAR:
```
Tl2CoCu
1.0
7.3082 0.0000 0.0000
0.0000 7.3082 0.0000
3.6541 3.6541 3.0474
Tl Co Cu
4 2 2
Direct
0.6210 0.1250 0.2500
0.1290 0.6250 0.2500
0.3750 0.3790 0.7500
0.8750 0.8710 0.7500
0.5000 0.5000 0.0000
0.2500 0.7500 0.5000
0.0000 0.0000 0.0000
0.7500 0.2500 0.5000
```

Computed properties:
Fermi-level density of states = 7.25 states/eV/cell
E = -3.30 eV/atom
Total moment = 1.4 μB/f.u.
E above lowest polymorph = 274.3 meV per atom


Al2HgPt | PBE | relaxed

Geometry as POSCAR:
```
Al2HgPt
1.0
-6.6035 1.3168 1.1531
-5.5150 -3.6117 1.7918
6.3167 2.5179 0.6550
Hg Pt Al
1 1 2
Direct
0.5472 0.5472 0.0000
0.7709 0.2709 0.5000
0.9414 0.9414 0.0000
0.2405 0.7405 0.5000
```

Computed properties:
Fermi-level density of states = 0.93 states/eV/cell
E = -3.85 eV/atom
Total moment = 0.0 μB/f.u.


CuMoIr | PBE | relaxed

Geometry as POSCAR:
```
CuMoIr
1.0
-2.5927 -1.9706 -4.7542
-4.1132 -3.7338 -1.5324
1.9912 4.2926 3.2889
Cu Ir Mo
1 1 1
Direct
0.9982 0.9982 0.0000
0.3333 0.3333 0.0000
0.6685 0.6685 0.0000
```

Computed properties:
Fermi-level density of states = 3.35 states/eV/cell
E = -7.90 eV/atom
Total moment = 0.0 μB/f.u.
E above lowest polymorph = 114.5 meV per atom


LiMn2Tl2Se6 | PBE | relaxed

Geometry as POSCAR:
```
LiMn2Tl2Se6
1.0
-3.3343 5.6370 0.5582
0.5106 -3.1003 -5.7734
-5.1663 -4.5720 3.1719
Li Mn Tl Se
1 2 2 6
Direct
0.0000 0.0000 0.5000
0.3307 0.6693 0.5000
0.6693 0.3307 0.5000
0.8448 0.1552 0.0000
0.1552 0.8448 0.0000
0.6907 0.6907 0.6848
0.0568 0.4165 0.6859
0.3093 0.3093 0.3152
0.4165 0.0568 0.6859
0.9432 0.5835 0.3141
0.5835 0.9432 0.3141
```

Computed properties:
Fermi-level density of states = 5.54 states/eV/cell
E = -4.65 eV/atom
Total moment = 5.5 μB/f.u.
Formation energy (no corrections) = -0.48 eV per atom


Nb2GaTc2 | PBE | relaxed

Geometry as POSCAR:
```
Nb2GaTc2
1.0
7.3519 0.0000 0.0000
0.0000 7.3519 0.0000
0.0000 0.0000 3.1837
Nb Tc Ga
4 4 2
Direct
0.1582 0.6582 0.5000
0.6582 0.8418 0.5000
0.8418 0.3418 0.5000
0.3418 0.1582 0.5000
0.3572 0.8572 0.0000
0.8572 0.6428 0.0000
0.6428 0.1428 0.0000
0.1428 0.3572 0.0000
0.0000 0.0000 0.0000
0.5000 0.5000 0.0000
```

Computed properties:
Fermi-level density of states = 10.17 states/eV/cell
E = -8.67 eV/atom
Total moment = 0.0 μB/f.u.


CaSe | PBE | relaxed

Geometry as POSCAR:
```
CaSe
1.0
5.1944 0.0000 0.0000
2.5972 4.4985 0.0000
2.5972 1.4995 4.2412
Ca Se
2 2
Direct
0.0000 0.0000 0.0000
0.2500 0.2500 0.2500
0.5000 0.5000 0.5000
0.7500 0.7500 0.7500
```

Computed properties:
Fermi-level density of states = 0.15 states/eV/cell
E = -3.55 eV/atom
Total moment = 0.0 μB/f.u.
Formation energy (no corrections) = -0.81 eV per atom


Eu2HgGe | PBE | relaxed

Geometry as POSCAR:
```
Eu2HgGe
1.0
-3.1582 -1.9976 -0.4800
1.9181 -2.5517 -2.0012
1.5235 -3.9785 6.5331
Eu Ge Hg
2 1 1
Direct
0.0000 0.0000 0.7303
0.0000 0.0000 0.2697
0.5000 0.5000 0.5000
0.5000 0.5000 0.0000
```

Computed properties:
Fermi-level density of states = 11.08 states/eV/cell
E = -6.94 eV/atom
Total moment = 14.1 μB/f.u.
E above lowest polymorph = 37.0 meV per atom


CsZr3W | PBE | relaxed

Geometry as POSCAR:
```
CsZr3W
1.0
5.1292 0.0000 0.0000
0.0000 5.1292 0.0000
0.0000 0.0000 5.1292
Cs Zr W
1 3 1
Direct
0.0000 0.0000 0.0000
0.0000 0.5000 0.0000
0.0000 0.0000 0.5000
0.5000 0.0000 0.0000
0.5000 0.5000 0.5000
```

Computed properties:
Fermi-level density of states = 10.91 states/eV/cell
E = -5.25 eV/atom
Total moment = 0.0 μB/f.u.
E above lowest polymorph = 1601.2 meV per atom


Mg2InW | PBE | relaxed

Geometry as POSCAR:
```
Mg2InW
1.0
-2.9209 0.0027 -0.7551
0.4964 -3.6925 -1.9333
-1.3393 -2.8871 5.1704
In Mg W
1 2 1
Direct
0.5000 0.5000 0.7380
0.0000 0.0000 0.0070
0.5000 0.5000 0.2621
0.0000 0.0000 0.4928
```

Computed properties:
Fermi-level density of states = 3.43 states/eV/cell
E = -4.31 eV/atom
Total moment = 0.0 μB/f.u.


Y8Os2Rh | PBE | relaxed

Geometry as POSCAR:
```
Y8Os2Rh
1.0
-3.3217 -4.2547 -2.1185
4.3794 -3.9778 4.7449
-5.2391 4.0574 3.6887
Y Os Rh
8 2 1
Direct
0.5892 0.3380 0.0769
0.5892 0.0769 0.3380
0.1880 0.3668 0.3668
0.9933 0.2183 0.7856
0.9933 0.7856 0.2183
0.8014 0.6397 0.6397
0.3914 0.9294 0.6686
0.3914 0.6686 0.9294
0.4957 0.6938 0.3158
0.4957 0.3158 0.6938
0.0714 0.0011 0.0011
```

Computed properties:
Fermi-level density of states = 9.16 states/eV/cell
E = -7.65 eV/atom
Total moment = 0.0 μB/f.u.


KPdRu2 | PBE | relaxed

Geometry as POSCAR:
```
KPdRu2
1.0
0.0000 3.2995 3.2995
3.2995 0.0000 3.2995
3.2995 3.2995 0.0000
Ru K Pd
2 1 1
Direct
0.2500 0.2500 0.2500
0.7500 0.7500 0.7500
0.0000 0.0000 0.0000
0.5000 0.5000 0.5000
```

Computed properties:
Fermi-level density of states = 4.00 states/eV/cell
E = -4.83 eV/atom
Total moment = 4.6 μB/f.u.
E above lowest polymorph = 256.7 meV per atom


CeTiGa4 | PBE | relaxed

Geometry as POSCAR:
```
CeTiGa4
1.0
-0.5935 0.6754 -6.4161
-4.5499 -4.6118 -0.0646
-5.0976 5.0152 0.9995
Ce Ti Ga
2 2 8
Direct
0.5000 0.0000 0.5000
0.0000 0.5000 0.5000
0.5000 0.5000 0.0000
0.0000 0.0000 0.0000
0.6387 0.1387 0.0000
0.8613 0.6387 0.0000
0.1387 0.3613 0.0000
0.3613 0.8613 0.0000
0.0000 0.0000 0.3385
0.5000 0.5000 0.6615
0.0000 0.0000 0.6615
0.5000 0.5000 0.3385
```

Computed properties:
Fermi-level density of states = 22.07 states/eV/cell
E = -4.11 eV/atom
Total moment = 1.1 μB/f.u.
E above lowest polymorph = 524.7 meV per atom


Te2RuSe | PBE | relaxed

Geometry as POSCAR:
```
Te2RuSe
1.0
6.8666 0.0000 0.0000
0.0000 6.8666 0.0000
3.4333 3.4333 5.0017
Ru Te Se
2 4 2
Direct
0.0000 0.0000 0.0000
0.7500 0.2500 0.5000
0.6773 0.1250 0.2500
0.0727 0.6250 0.2500
0.3750 0.3227 0.7500
0.8750 0.9273 0.7500
0.5000 0.5000 0.0000
0.2500 0.7500 0.5000
```

Computed properties:
Fermi-level density of states = 4.84 states/eV/cell
E = -4.52 eV/atom
Total moment = 0.0 μB/f.u.
Formation energy (no corrections) = 0.24 eV per atom


CoTc3N | PBE | relaxed

Geometry as POSCAR:
```
CoTc3N
1.0
4.3704 0.0000 0.0000
0.0000 4.3704 0.0000
0.0000 0.0000 4.3704
Co Tc N
1 3 1
Direct
0.0000 0.0000 0.0000
0.0000 0.5000 0.0000
0.0000 0.0000 0.5000
0.5000 0.0000 0.0000
0.5000 0.5000 0.5000
```

Computed properties:
Fermi-level density of states = 7.01 states/eV/cell
E = -6.83 eV/atom
Total moment = 1.2 μB/f.u.
Formation energy (no corrections) = 2.47 eV per atom
E above lowest polymorph = 2331.2 meV per atom


HfTlS2N | PBE | relaxed

Geometry as POSCAR:
```
HfTlS2N
1.0
-4.5767 -1.5413 -1.4872
-0.9986 -1.5683 4.6985
-1.5143 3.6359 0.8918
Tl Hf S N
1 1 2 1
Direct
0.0000 0.0000 0.0000
0.5000 0.5000 0.5000
0.0000 0.5000 0.0000
0.5000 0.0000 0.0000
0.0000 0.0000 0.5000
```

Computed properties:
Fermi-level density of states = 4.47 states/eV/cell
E = -4.67 eV/atom
Total moment = 0.0 μB/f.u.
Formation energy (no corrections) = 1.11 eV per atom
E above lowest polymorph = 1516.7 meV per atom


Hg2OsPb | PBE | relaxed

Geometry as POSCAR:
```
Hg2OsPb
1.0
-2.1537 3.6657 -0.7360
-1.3377 -1.3833 -2.9754
-5.1319 -2.7251 1.4441
Hg Os Pb
2 1 1
Direct
0.0000 0.0389 0.0473
0.5000 0.4498 0.2240
0.0000 0.2921 0.5434
0.5000 0.7192 0.6852
```

Computed properties:
Fermi-level density of states = 2.89 states/eV/cell
E = -3.17 eV/atom
Total moment = 0.0 μB/f.u.


Zn3Ag5 | PBE | relaxed

Geometry as POSCAR:
```
Zn3Ag5
1.0
2.9952 0.0000 0.0000
0.0000 2.9952 0.0000
0.0000 0.0000 14.7922
Zn Ag
3 5
Direct
0.5000 0.5000 0.1225
0.5000 0.5000 0.8775
0.0000 0.0000 0.5000
0.0000 0.0000 0.2419
0.5000 0.5000 0.6198
0.5000 0.5000 0.3802
0.0000 0.0000 0.7581
0.0000 0.0000 0.0000
```

Computed properties:
Fermi-level density of states = 1.73 states/eV/cell
E = -2.29 eV/atom
Total moment = 0.0 μB/f.u.
E above lowest polymorph = 0.0 meV per atom


LiLaScSn2 | PBE | relaxed

Geometry as POSCAR:
```
LiLaScSn2
1.0
4.5711 0.0000 0.0000
0.0000 4.5711 0.0000
-2.2856 -2.2856 6.3327
Li La Sc Sn
1 1 1 2
Direct
0.7500 0.2500 0.5000
0.0000 0.0000 0.0000
0.2500 0.7500 0.5000
0.6135 0.6135 0.2270
0.3865 0.3865 0.7730
```

Computed properties:
Fermi-level density of states = 4.75 states/eV/cell
E = -4.82 eV/atom
Total moment = 0.0 μB/f.u.


ZrV2TcOs | PBE | relaxed

Geometry as POSCAR:
```
ZrV2TcOs
1.0
4.4754 0.0000 0.0000
0.0000 4.4754 0.0000
0.0000 0.0000 4.6018
Os Tc Zr V
1 1 1 2
Direct
0.5000 0.5000 0.5000
0.0000 0.0000 0.5000
0.0000 0.0000 0.0000
0.0000 0.5000 0.0000
0.5000 0.0000 0.0000
```

Computed properties:
Fermi-level density of states = 8.77 states/eV/cell
E = -7.56 eV/atom
Total moment = 0.0 μB/f.u.


Ac2MgGe4Ir3 | PBE | relaxed

Geometry as POSCAR:
```
Ac2MgGe4Ir3
1.0
4.4252 0.0000 0.0000
0.0000 4.4252 0.0000
0.0000 0.0000 10.5337
Ac Mg Ge Ir
2 1 4 3
Direct
0.5000 0.0000 0.2390
0.0000 0.5000 0.7610
0.5000 0.5000 0.5000
0.5000 0.5000 0.0000
0.0000 0.0000 0.0000
0.5000 0.0000 0.6413
0.0000 0.5000 0.3587
0.0000 0.0000 0.5000
0.5000 0.0000 0.8809
0.0000 0.5000 0.1191
```

Computed properties:
Fermi-level density of states = 6.67 states/eV/cell
E = -6.16 eV/atom
Total moment = 0.0 μB/f.u.


Er5Ge2O12 | PBE | relaxed

Geometry as POSCAR:
```
Er5Ge2O12
1.0
-5.1823 1.2029 -2.1636
4.4929 -2.3567 -4.4491
-2.7054 -5.8055 3.2521
Er Ge O
5 2 12
Direct
0.3046 0.6093 0.6423
0.3061 0.6123 0.1642
0.0000 0.0000 0.5000
0.6939 0.3877 0.8358
0.6954 0.3907 0.3577
0.7548 0.0000 0.0000
0.2452 0.0000 0.0000
0.9998 0.9997 0.1810
0.0992 0.6773 0.9181
0.5781 0.6773 0.9181
0.0967 0.6944 0.4252
0.5977 0.6944 0.4252
0.5005 0.0010 0.8173
0.4995 0.9990 0.1827
0.9033 0.3056 0.5748
0.4023 0.3056 0.5748
0.9008 0.3227 0.0819
0.4219 0.3227 0.0819
0.0002 0.0003 0.8190
```

Computed properties:
Fermi-level density of states = 11.71 states/eV/cell
E = -7.75 eV/atom
Total moment = 0.9 μB/f.u.
Formation energy (no corrections) = -2.93 eV per atom


PmDySN | PBE | relaxed

Geometry as POSCAR:
```
PmDySN
1.0
3.6784 0.0000 0.0000
1.8392 3.1855 0.0000
1.8392 1.0618 6.4064
Pm Dy S N
1 1 1 1
Direct
0.2628 0.2628 0.2115
0.7361 0.7361 0.7918
0.4964 0.4964 0.5108
0.0047 0.0047 0.9860
```

Computed properties:
Fermi-level density of states = 1.04 states/eV/cell
E = -7.26 eV/atom
Total moment = 0.0 μB/f.u.
Formation energy (no corrections) = -1.81 eV per atom


Pm2Nd6Ho3In | PBE | relaxed

Geometry as POSCAR:
```
Pm2Nd6Ho3In
1.0
-2.2864 -1.7691 5.5092
3.3823 -3.9673 -3.3954
9.3776 5.7263 4.5563
Pm Nd Ho In
2 6 3 1
Direct
0.3336 0.6664 0.0000
0.6664 0.3336 0.0000
0.9167 0.5906 0.7493
0.7577 0.7577 0.2516
0.0833 0.4094 0.2507
0.5906 0.9167 0.7493
0.2423 0.2423 0.7484
0.4094 0.0833 0.2507
0.1673 0.8327 0.5000
0.8327 0.1673 0.5000
0.5000 0.5000 0.5000
0.0000 0.0000 0.0000
```

Computed properties:
Fermi-level density of states = 13.58 states/eV/cell
E = -4.60 eV/atom
Total moment = 0.0 μB/f.u.


Pm3PrY2S6 | PBE | relaxed

Geometry as POSCAR:
```
Pm3PrY2S6
1.0
6.9466 -0.0100 -0.0011
-3.4802 6.0119 -0.0011
-1.1573 -2.0039 6.5441
Pm Pr Y S
3 1 2 6
Direct
0.1620 0.8380 0.5000
0.8380 0.1620 0.5000
0.5000 0.5000 0.5000
0.0000 0.0000 0.0000
0.3338 0.6662 0.0000
0.6662 0.3338 0.0000
0.9181 0.5745 0.7541
0.7371 0.7371 0.2419
0.0819 0.4255 0.2459
0.5745 0.9181 0.7541
0.2629 0.2629 0.7581
0.4255 0.0819 0.2459
```

Computed properties:
Fermi-level density of states = 5.08 states/eV/cell
E = -6.75 eV/atom
Total moment = 0.0 μB/f.u.
Formation energy (no corrections) = -2.02 eV per atom